# BiBPd2Rh (PBE, relaxed)
data_BiBPd2Rh
_chemical_formula_sum 'Bi1 B1 Pd2 Rh1'
_symmetry_space_group_name_H-M 'P 1'
_symmetry_Int_Tables_number 1
_symmetry_space_group_name_Hall 'P 1'
_cell_length_a 4.350
_cell_length_b 4.350
_cell_length_c 4.227
_cell_angle_alpha 90.00
_cell_angle_beta 90.00
_cell_angle_gamma 90.00
loop_
_atom_site_label
_atom_site_fract_x
_atom_site_fract_y
_atom_site_fract_z
Bi1 0.000 0.000 0.000
B1 0.500 0.500 0.500
Pd1 0.000 0.500 0.500
Pd2 0.500 0.000 0.500
Rh1 0.500 0.500 0.000
# Formation enthalpy at 0 K ... -0.14 eV/atom
# Space-group type ... P4/mmm (123)
# Energy ... -0.4266 Ry per atom